DFT (PBE) results for a relaxed TbHo3C8 crystal.

Cell: 6.337 6.337 6.059 Å, 114.74 114.74 101.44°
Atoms (fractional coordinates):
Tb (0.000, 0.000, 0.000)
Ho (0.289, 0.789, 0.500)
Ho (0.488, 0.488, 0.000)
Ho (0.789, 0.289, 0.500)
C (0.077, 0.406, 0.001)
C (0.111, 0.111, 0.505)
C (0.352, 0.866, 0.001)
C (0.406, 0.077, 0.001)
C (0.569, 0.569, 0.674)
C (0.606, 0.606, 0.495)
C (0.866, 0.352, 0.001)
C (0.896, 0.896, 0.327)

Calculated values
- crystal system = monoclinic
- calculated formation energy (kJ/mol of atoms) = 11.7
- density of states at the Fermi level (states/eV per atom) = 0.3942
- calculated volume (Å³ per atom) = 14.9
- total moment (μB per formula unit) = 0.00
- DFT total energy (eV/atom) = -7.56